[1]
Er2TmCu4Sn4 | GGA-PBE | optimized geometry

* space-group type: Immm, No. 71
* total energy: -4.53 eV per atom

abc: 8.381 8.381 8.381
angles: 149.35 131.29 58.66
Element x y z (fractional)
Cu (0.639, 0.329, 0.310)
Cu (0.981, 0.671, 0.310)
Cu (0.019, 0.329, 0.690)
Cu (0.361, 0.671, 0.690)
Er (0.630, 0.130, 0.500)
Er (0.370, 0.870, 0.500)
Sn (0.216, 0.216, 0.000)
Sn (0.784, 0.784, 0.000)
Sn (0.704, 0.500, 0.204)
Sn (0.296, 0.500, 0.796)
Tm (0.000, 0.000, 0.000)

***

[2]
YErCu2Sn2 | GGA-PBE | optimized geometry

* space-group type: P3m1, No. 156
* total energy: -5.02 eV per atom

abc: 4.527 4.527 7.204
angles: 90.00 90.00 120.00
Element x y z (fractional)
Cu (0.333, 0.667, 0.057)
Cu (0.667, 0.333, 0.549)
Er (0.000, 0.000, 0.233)
Sn (0.333, 0.667, 0.462)
Sn (0.667, 0.333, 0.966)
Y (0.000, 0.000, 0.734)

***

[3]
YErCu2Sn | GGA-PBE | optimized geometry

* space-group type: Amm2, No. 38
* total energy: -4.97 eV per atom

abc: 3.614 7.178 7.178
angles: 34.13 90.00 90.00
Element x y z (fractional)
Cu (0.500, 0.200, 0.200)
Cu (0.500, 0.797, 0.797)
Er (0.000, 0.632, 0.632)
Sn (0.500, 0.001, 0.001)
Y (0.000, 0.370, 0.370)